#one
Below is an optimized crystal structure of ErGa3Au, with properties calculated at the GGA-PBE level.

a = 12.1906 Å, b = 12.1906 Å, c = 4.0950 Å
α = 90.00°, β = 90.00°, γ = 160.42°
Last column: nearest neighbours and their distance in Å.
Element x y z (fractional)
Er1 0.1717 0.8283 0.0000  4 Au 3.17, 8 Ga 3.17-3.53
Er2 0.8283 0.1717 0.0000  4 Au 3.17, 8 Ga 3.17-3.53
Ga1 0.0521 0.9479 0.5000  1 Ga 2.50, 2 Au 2.64
Ga2 0.2759 0.7241 0.5000  2 Ga 2.42, 1 Au 2.50
Ga3 0.4484 0.5516 0.0000  1 Ga 2.48, 2 Au 2.63
Ga4 0.5516 0.4484 0.0000  1 Ga 2.48, 2 Au 2.63
Ga5 0.7241 0.2759 0.5000  2 Ga 2.42, 1 Au 2.50
Ga6 0.9479 0.0521 0.5000  1 Ga 2.50, 2 Au 2.64
Au1 0.3799 0.6201 0.5000  5 Ga 2.50-2.64
Au2 0.6201 0.3799 0.5000  5 Ga 2.50-2.64

Space-group type: Cmmm

#two
Below is an optimized crystal structure of ErGa3Au, with properties calculated at the GGA-PBE level.

a = 4.1360 Å, b = 4.1360 Å, c = 6.3859 Å
α = 108.81°, β = 108.81°, γ = 90.04°
Last column: nearest neighbours and their distance in Å.
Element x y z (fractional)
Er1 0.0000 0.0000 0.0000  8 Ga 3.13-3.42, 4 Au 3.22
Ga1 0.2598 0.7603 0.5218  2 Ga 2.61, 2 Au 2.62
Ga2 0.4008 0.4008 0.8022  1 Au 2.48, 4 Ga 2.61
Ga3 0.7603 0.2598 0.5218  2 Ga 2.61, 2 Au 2.62
Au1 0.6184 0.6184 0.2379  5 Ga 2.48-2.62

Space-group type: Cm

The structure with the greatest stability is #two.

#one
Below is an optimized crystal structure of Er6Ga2Au, with properties calculated at the GGA-PBE level.

a = 6.2138 Å, b = 8.1335 Å, c = 10.9718 Å
α = 90.00°, β = 120.10°, γ = 90.00°
Last column: nearest neighbours and their distance in Å.
Element x y z (fractional)
Er1 0.0784 0.1620 0.4391  1 Au 2.93, 3 Ga 2.98-3.19
Er2 0.0784 0.3380 0.9391  1 Au 2.93, 3 Ga 2.98-3.19
Er3 0.3258 0.6892 0.4372  1 Au 2.89, 2 Ga 3.10-3.18
Er4 0.3258 0.8108 0.9372  1 Au 2.89, 2 Ga 3.10-3.18
Er5 0.4128 0.0405 0.2749  1 Au 2.83, 2 Ga 2.99-3.01
Er6 0.4128 0.4595 0.7749  1 Au 2.83, 2 Ga 2.99-3.01
Er7 0.5872 0.5405 0.2251  1 Au 2.83, 2 Ga 2.99-3.01
Er8 0.5872 0.9595 0.7251  1 Au 2.83, 2 Ga 2.99-3.01
Er9 0.6742 0.1892 0.0628  1 Au 2.89, 2 Ga 3.10-3.18
Er10 0.6742 0.3108 0.5628  1 Au 2.89, 2 Ga 3.10-3.18
Er11 0.9216 0.6620 0.0609  1 Au 2.93, 3 Ga 2.98-3.19
Er12 0.9216 0.8380 0.5609  1 Au 2.93, 3 Ga 2.98-3.19
Ga1 0.1871 0.1259 0.7545  8 Er 2.98-3.26
Ga2 0.1871 0.3741 0.2545  8 Er 2.98-3.26
Ga3 0.8129 0.6259 0.7455  8 Er 2.98-3.26
Ga4 0.8129 0.8741 0.2455  8 Er 2.98-3.26
Au1 0.0000 0.0000 0.0000  6 Er 2.83-2.93
Au2 0.0000 0.5000 0.5000  6 Er 2.83-2.93

Space-group type: P2_1/c

#two
Below is an optimized crystal structure of Er6Ga2Au, with properties calculated at the GGA-PBE level.

a = 8.4428 Å, b = 8.4428 Å, c = 8.4428 Å
α = 111.40°, β = 111.36°, γ = 105.72°
Last column: nearest neighbours and their distance in Å.
Element x y z (fractional)
Er1 0.0322 0.8260 0.2062  3 Ga 2.85-2.99
Er2 0.2508 0.5567 0.3059  2 Ga 2.98-3.18, 2 Au 3.14-3.15
Er3 0.2508 0.9449 0.6941  2 Ga 2.98-3.18, 2 Au 3.14-3.15
Er4 0.2704 0.3214 0.5918  3 Ga 3.04-3.07, 1 Au 3.08, 1 Er 3.40
Er5 0.2704 0.6786 0.9490  3 Ga 3.04-3.07, 1 Au 3.08, 1 Er 3.40
Er6 0.3801 0.1740 0.2062  3 Ga 2.85-2.99
Er7 0.6199 0.8260 0.7938  3 Ga 2.85-2.99
Er8 0.7296 0.3214 0.0510  3 Ga 3.04-3.07, 1 Au 3.08, 1 Er 3.40
Er9 0.7296 0.6786 0.4082  3 Ga 3.04-3.07, 1 Au 3.08, 1 Er 3.40
Er10 0.7492 0.0551 0.3059  2 Ga 2.98-3.18, 2 Au 3.14-3.15
Er11 0.7492 0.4433 0.6941  2 Ga 2.98-3.18, 2 Au 3.14-3.15
Er12 0.9678 0.1740 0.7938  3 Ga 2.85-2.99
Ga1 0.0000 0.1460 0.1460  1 Ga 2.78, 8 Er 2.98-3.07
Ga2 0.0000 0.8540 0.8540  1 Ga 2.78, 8 Er 2.98-3.07
Ga3 0.3769 0.3769 0.0000  1 Ga 2.51
Ga4 0.6231 0.6231 0.0000  1 Ga 2.51
Au1 0.0000 0.5000 0.5000  8 Er 3.08-3.15, 2 Ga 3.37
Au2 0.5000 0.0000 0.5000  8 Er 3.14-3.31

Space-group type: Immm

The structure with the greatest stability is #two.

#one
Below is an optimized crystal structure of Er3Ga2Au, with properties calculated at the GGA-PBE level.

a = 11.5777 Å, b = 4.4777 Å, c = 10.9111 Å
α = 90.00°, β = 90.00°, γ = 90.00°
Last column: nearest neighbours and their distance in Å.
Element x y z (fractional)
Er1 0.0455 0.2500 0.1293  5 Ga 2.95-3.13, 1 Au 2.96
Er2 0.1333 0.7500 0.5772  3 Au 3.03-3.05, 5 Ga 3.05-3.20, 1 Er 3.33
Er3 0.2124 0.2500 0.8201  4 Ga 2.99-3.20, 2 Au 3.01, 1 Er 3.33
Er4 0.2876 0.7500 0.3201  4 Ga 2.99-3.20, 2 Au 3.01, 1 Er 3.33
Er5 0.3667 0.2500 0.0772  3 Au 3.03-3.05, 5 Ga 3.05-3.20, 1 Er 3.33
Er6 0.4545 0.7500 0.6293  5 Ga 2.95-3.13, 1 Au 2.96
Er7 0.5455 0.2500 0.3707  5 Ga 2.95-3.13, 1 Au 2.96
Er8 0.6333 0.7500 0.9228  3 Au 3.03-3.05, 5 Ga 3.05-3.20, 1 Er 3.33
Er9 0.7124 0.2500 0.6799  4 Ga 2.99-3.20, 2 Au 3.01, 1 Er 3.33
Er10 0.7876 0.7500 0.1799  4 Ga 2.99-3.20, 2 Au 3.01, 1 Er 3.33
Er11 0.8667 0.2500 0.4228  3 Au 3.03-3.05, 5 Ga 3.05-3.20, 1 Er 3.33
Er12 0.9545 0.7500 0.8707  5 Ga 2.95-3.13, 1 Au 2.96
Ga1 0.0126 0.7500 0.3136  2 Au 2.72, 3 Er 2.99-3.03
Ga2 0.1809 0.7500 0.0275  1 Au 2.71, 2 Er 2.95
Ga3 0.3191 0.2500 0.5275  1 Au 2.71, 2 Er 2.95
Ga4 0.4874 0.2500 0.8136  2 Au 2.72, 3 Er 2.99-3.03
Ga5 0.5126 0.7500 0.1864  2 Au 2.72, 3 Er 2.99-3.03
Ga6 0.6809 0.7500 0.4725  1 Au 2.71, 2 Er 2.95
Ga7 0.8191 0.2500 0.9725  1 Au 2.71, 2 Er 2.95
Ga8 0.9874 0.2500 0.6864  2 Au 2.72, 3 Er 2.99-3.03
Au1 0.1261 0.2500 0.3872  3 Ga 2.71-2.72, 4 Er 2.96-3.03
Au2 0.3739 0.7500 0.8872  3 Ga 2.71-2.72, 4 Er 2.96-3.03
Au3 0.6261 0.2500 0.1128  3 Ga 2.71-2.72, 4 Er 2.96-3.03
Au4 0.8739 0.7500 0.6128  3 Ga 2.71-2.72, 4 Er 2.96-3.03

Space-group type: Pnma

#two
Below is an optimized crystal structure of Er3Ga2Au, with properties calculated at the GGA-PBE level.

a = 3.5633 Å, b = 3.5633 Å, c = 10.6079 Å
α = 90.00°, β = 90.00°, γ = 90.00°
Last column: nearest neighbours and their distance in Å.
Element x y z (fractional)
Er1 0.0000 0.0000 0.0000  8 Ga 3.07
Er2 0.0000 0.0000 0.3332  4 Au 3.08, 4 Ga 3.09
Er3 0.0000 0.0000 0.6668  4 Au 3.08, 4 Ga 3.09
Ga1 0.5000 0.5000 0.1652  8 Er 3.07-3.09
Ga2 0.5000 0.5000 0.8348  8 Er 3.07-3.09
Au1 0.5000 0.5000 0.5000  8 Er 3.08

Space-group type: P4/mmm

The structure with the greatest stability is #two.

#one
Below is an optimized crystal structure of LiErGaAu, with properties calculated at the GGA-PBE level.

a = 4.6892 Å, b = 4.6892 Å, c = 4.6892 Å
α = 60.00°, β = 60.00°, γ = 60.00°
Last column: nearest neighbours and their distance in Å.
Element x y z (fractional)
Li1 0.0000 0.0000 0.0000  4 Er 2.87, 4 Ga 2.87
Er1 0.2500 0.2500 0.2500  4 Au 2.87, 4 Li 2.87
Ga1 0.7500 0.7500 0.7500  4 Au 2.87, 4 Li 2.87
Au1 0.5000 0.5000 0.5000  4 Ga 2.87, 4 Er 2.87

Space-group type: F-43m

#two
Below is an optimized crystal structure of LiErGaAu, with properties calculated at the GGA-PBE level.

a = 4.7939 Å, b = 4.7939 Å, c = 4.7939 Å
α = 60.00°, β = 60.00°, γ = 60.00°
Last column: nearest neighbours and their distance in Å.
Element x y z (fractional)
Li1 0.0000 0.0000 0.0000  4 Ga 2.94, 4 Au 2.94
Er1 0.5000 0.5000 0.5000  4 Ga 2.94, 4 Au 2.94
Ga1 0.7500 0.7500 0.7500  4 Li 2.94, 4 Er 2.94
Au1 0.2500 0.2500 0.2500  4 Li 2.94, 4 Er 2.94

Space-group type: F-43m

The structure with the greatest stability is #one.

#one
Below is an optimized crystal structure of NdErGaAu, with properties calculated at the GGA-PBE level.

a = 5.1696 Å, b = 5.1696 Å, c = 5.1696 Å
α = 60.00°, β = 60.00°, γ = 60.00°
Last column: nearest neighbours and their distance in Å.
Element x y z (fractional)
Nd1 0.0000 0.0000 0.0000  4 Ga 3.17, 4 Au 3.17
Er1 0.5000 0.5000 0.5000  4 Au 3.17, 4 Ga 3.17
Ga1 0.2500 0.2500 0.2500  4 Nd 3.17, 4 Er 3.17
Au1 0.7500 0.7500 0.7500  4 Er 3.17, 4 Nd 3.17

Space-group type: F-43m

#two
Below is an optimized crystal structure of NdErGaAu, with properties calculated at the GGA-PBE level.

a = 4.5368 Å, b = 6.0239 Å, c = 6.0239 Å
α = 37.17°, β = 90.00°, γ = 90.00°
Last column: nearest neighbours and their distance in Å.
Element x y z (fractional)
Nd1 0.0000 0.0000 0.0000  4 Ga 3.08, 3 Au 3.10-3.24
Er1 0.5000 0.2850 0.2850  4 Au 3.04, 3 Ga 3.11-3.26
Ga1 0.5000 0.5708 0.5708  2 Au 2.89, 4 Nd 3.08, 2 Er 3.11
Au1 0.0000 0.7282 0.7282  2 Ga 2.89, 4 Er 3.04, 3 Nd 3.10-3.24

Space-group type: Amm2

The structure with the greatest stability is #two.

#one
Below is an optimized crystal structure of PmErGaAu, with properties calculated at the GGA-PBE level.

a = 4.5664 Å, b = 5.9634 Å, c = 5.9634 Å
α = 37.38°, β = 90.00°, γ = 90.00°
Last column: nearest neighbours and their distance in Å.
Element x y z (fractional)
Pm1 0.0000 0.0000 0.0000  3 Ga 3.04-3.23, 4 Au 3.09
Er1 0.5000 0.2866 0.2866  4 Ga 3.04, 3 Au 3.08-3.23
Ga1 0.0000 0.7310 0.7310  2 Au 2.90, 3 Pm 3.04-3.23, 4 Er 3.04
Au1 0.5000 0.5727 0.5727  2 Ga 2.90, 3 Er 3.08-3.23, 4 Pm 3.09

Space-group type: Amm2

#two
Below is an optimized crystal structure of PmErGaAu, with properties calculated at the GGA-PBE level.

a = 5.1493 Å, b = 5.1493 Å, c = 5.1493 Å
α = 60.00°, β = 60.00°, γ = 60.00°
Last column: nearest neighbours and their distance in Å.
Element x y z (fractional)
Pm1 0.0000 0.0000 0.0000  4 Ga 3.15, 4 Au 3.15
Er1 0.5000 0.5000 0.5000  4 Au 3.15, 4 Ga 3.15
Ga1 0.2500 0.2500 0.2500  4 Er 3.15, 4 Pm 3.15
Au1 0.7500 0.7500 0.7500  4 Er 3.15, 4 Pm 3.15

Space-group type: F-43m

The structure with the greatest stability is #one.